DFT (PBE) results for a geometry-optimized Mg2FeBr structure.

As for the total magnetization: 2.9 μB per formula unit. Its raw total energy is -3.03 eV/atom. Its space group is I-42d (122). The value obtained for the energy above the most stable polymorph in this dataset is 0.3797 eV per atom. As for the uncorrected formation energy: 0.301 eV per atom.

Cell lengths 6.1810, 6.1810, 6.1810 Å; angles 106.09, 106.09, 116.47 degrees
Sites, in units of the cell vectors:
1 Mg 0.1205 0.6250 0.9955
2 Mg 0.3750 0.3705 0.4955
3 Mg 0.6295 0.1250 0.0045
4 Mg 0.8750 0.8795 0.5045
5 Fe 0.0000 0.0000 0.0000
6 Fe 0.7500 0.2500 0.5000
7 Br 0.2500 0.7500 0.5000
8 Br 0.5000 0.5000 0.0000